Record 1
# LaHgRu2, optimized geometry, DFT PBEsol
data_LaHgRu2
_chemical_formula_sum 'La2 Hg2 Ru4'
_cell_length_a 10.604
_cell_length_b 3.070
_cell_length_c 4.898
_cell_angle_alpha 90.00
_cell_angle_beta 111.27
_cell_angle_gamma 90.00
_space_group_name_H-M_alt 'C 1 m 1'
_space_group_IT_number 8
loop_
_space_group_symop_operation_xyz
'x,y,z'
'x,-y,z'
'x+1/2,y+1/2,z'
'x+1/2,-y+1/2,z'
loop_
_atom_site_label
_atom_site_fract_x
_atom_site_fract_y
_atom_site_fract_z
La1 0.000 0.000 0.000
Hg1 0.281 0.500 0.369
Ru1 0.033 0.500 0.512
Ru2 0.231 0.000 0.838
# Volume in A^3/atom: 18.6
# ΔE_f in eV per atom: 0.2071

Record 2
# La4HgRu, optimized geometry, DFT PBEsol
data_La4HgRu
_chemical_formula_sum 'La16 Hg4 Ru4'
_cell_length_a 8.627
_cell_length_b 8.627
_cell_length_c 8.627
_cell_angle_alpha 90.00
_cell_angle_beta 90.00
_cell_angle_gamma 90.00
_space_group_name_H-M_alt 'F -4 3 m'
_space_group_IT_number 216
_space_group_name_Hall 'F -4 2 3'
loop_
_atom_site_label
_atom_site_fract_x
_atom_site_fract_y
_atom_site_fract_z
La1 0.124 0.124 0.124
Hg1 0.000 0.000 0.500
Ru1 0.250 0.250 0.750
# Volume in A^3/atom: 26.8
# ΔE_f in eV per atom: 0.6360

Record 3
# LaHg2Ru, optimized geometry, DFT PBEsol
data_LaHg2Ru
_chemical_formula_sum 'La1 Hg2 Ru1'
_cell_length_a 4.115
_cell_length_b 4.127
_cell_length_c 4.991
_cell_angle_alpha 90.00
_cell_angle_beta 90.00
_cell_angle_gamma 90.00
_space_group_name_H-M_alt 'P m m m'
_space_group_IT_number 47
loop_
_space_group_symop_operation_xyz
'x,y,z'
'-x,-y,-z'
'-x,-y,z'
'x,y,-z'
'x,-y,-z'
'-x,y,z'
'-x,y,-z'
'x,-y,z'
loop_
_atom_site_label
_atom_site_fract_x
_atom_site_fract_y
_atom_site_fract_z
La1 0.000 0.000 0.000
Hg1 0.000 0.500 0.500
Hg2 0.500 0.000 0.500
Ru1 0.500 0.500 0.000
# Volume in A^3/atom: 21.2
# ΔE_f in eV per atom: -0.0107

Record 4
# LaHg2Ru, optimized geometry, DFT PBEsol
data_LaHg2Ru
_chemical_formula_sum 'La4 Hg8 Ru4'
_cell_length_a 5.654
_cell_length_b 5.838
_cell_length_c 10.816
_cell_angle_alpha 90.00
_cell_angle_beta 90.00
_cell_angle_gamma 90.00
_space_group_name_H-M_alt 'F m m m'
_space_group_IT_number 69
_space_group_name_Hall '-F 2 2'
loop_
_atom_site_label
_atom_site_fract_x
_atom_site_fract_y
_atom_site_fract_z
La1 0.000 0.000 0.000
Hg1 0.000 0.250 0.250
Ru1 0.000 0.000 0.500
# Volume in A^3/atom: 22.3
# ΔE_f in eV per atom: 0.1085

Record 5
# LaHgS2, optimized geometry, DFT PBEsol
data_LaHgS2
_chemical_formula_sum 'La3 Hg3 S6'
_cell_length_a 4.2108
_cell_length_b 4.2108
_cell_length_c 24.1758
_cell_angle_alpha 90.00
_cell_angle_beta 90.00
_cell_angle_gamma 120.00
_space_group_name_H-M_alt 'R -3 m'
_space_group_IT_number 166
_space_group_name_Hall '-R 3 2"'
loop_
_atom_site_label
_atom_site_fract_x
_atom_site_fract_y
_atom_site_fract_z
La1 0.0000 0.0000 0.0000
Hg1 0.0000 0.0000 0.5000
S1 0.0000 0.0000 0.3954
# Raw formation energy in eV/atom: -1.128
# Volume in A^3/atom: 30.9

Record 6
# La2HgS, optimized geometry, DFT PBEsol
data_La2HgS
_chemical_formula_sum 'La8 Hg4 S4'
_cell_length_a 7.370
_cell_length_b 7.370
_cell_length_c 7.370
_cell_angle_alpha 90.00
_cell_angle_beta 90.00
_cell_angle_gamma 90.00
_space_group_name_H-M_alt 'F m -3 m'
_space_group_IT_number 225
_space_group_name_Hall '-F 4 2 3'
loop_
_atom_site_label
_atom_site_fract_x
_atom_site_fract_y
_atom_site_fract_z
La1 0.250 0.250 0.250
Hg1 0.000 0.000 0.000
S1 0.000 0.000 0.500
# Raw formation energy in eV/atom: -0.929
# Volume in A^3/atom: 25.0